1.
Computed, not measured: a geometry-optimized ThZn3Au9 structure at the GGA-PBE level of DFT.

## Properties
ΔE_f (eV/atom): -0.303
Magnetic moment (Bohr magnetons per cell): 0.0
Density of states at the Fermi level (states/eV per cell): 4.4

a b c (Å): 7.2487 7.2487 7.0301
angles (deg): 96.46 96.46 136.76
Positions (direct):
Th 0.0000 0.0000 0.0000
Zn 0.0000 0.5000 0.0000
Zn 0.5000 0.0000 0.0000
Zn 0.5000 0.5000 0.5000
Au 0.0000 0.0000 0.5000
Au 0.0422 0.6869 0.6700
Au 0.3131 0.9578 0.3300
Au 0.3139 0.5280 0.7893
Au 0.4720 0.6861 0.2107
Au 0.5280 0.3139 0.7893
Au 0.6861 0.4720 0.2107
Au 0.6869 0.0422 0.6700
Au 0.9578 0.3131 0.3300


2.
Computed, not measured: a geometry-optimized Tb2CeTl structure at the GGA-PBE level of DFT.

## Properties
Relative energy among the computed polymorphs (meV/atom): 156
ΔE_f (eV/atom): 0.014
Magnetic moment (Bohr magnetons per cell): 0.3
Density of states at the Fermi level (states/eV per cell): 6.8

a b c (Å): 5.4213 5.4213 5.4213
angles (deg): 60.00 60.00 60.00
Positions (direct):
Tb 0.2500 0.2500 0.2500
Tb 0.7500 0.7500 0.7500
Ce 0.0000 0.0000 0.0000
Tl 0.5000 0.5000 0.5000


Please write out number 2 again, unchanged.
Computed, not measured: a geometry-optimized Tb2CeTl structure at the GGA-PBE level of DFT.

## Properties
Relative energy among the computed polymorphs (meV/atom): 156
ΔE_f (eV/atom): 0.014
Magnetic moment (Bohr magnetons per cell): 0.3
Density of states at the Fermi level (states/eV per cell): 6.8

a b c (Å): 5.4213 5.4213 5.4213
angles (deg): 60.00 60.00 60.00
Positions (direct):
Tb 0.2500 0.2500 0.2500
Tb 0.7500 0.7500 0.7500
Ce 0.0000 0.0000 0.0000
Tl 0.5000 0.5000 0.5000